1.
! TbHfSc4, relaxed, DFT PBE-GGA; values from VASP
! Energy relative to the lowest polymorph listed for this composition in meV/atom: 114
! E_form in eV/f.u.: 0.782
! Total magnetic moment in μB per formula unit: 0.00
&SYSTEM
  ibrav = 0, nat = 12, ntyp = 3
/
ATOMIC_SPECIES
Tb 158.93 Tb.upf
Hf 178.49 Hf.upf
Sc 44.96 Sc.upf
CELL_PARAMETERS angstrom
-1.726 5.658 0.831
-4.451 -5.412 4.684
7.499 0.501 2.155
ATOMIC_POSITIONS angstrom
Tb -1.894 -1.184 3.400
Tb 3.215 1.930 4.270
Hf 2.594 -3.500 7.021
Hf -1.272 4.246 0.649
Sc 4.823 -0.297 2.372
Sc 0.172 0.685 5.320
Sc 2.608 -1.603 4.527
Sc -0.005 -2.493 5.883
Sc 1.327 3.240 1.787
Sc -1.286 2.350 3.143
Sc 1.150 0.062 2.349
Sc -3.501 1.043 5.297


2.
! TbHfSc, relaxed, DFT PBE-GGA; values from VASP
! Energy relative to the lowest polymorph listed for this composition in meV/atom: 61
! E_form in eV/f.u.: 0.289
! Total magnetic moment in μB per formula unit: 0.00
&SYSTEM
  ibrav = 0, nat = 3, ntyp = 3
/
ATOMIC_SPECIES
Sc 44.96 Sc.upf
Hf 178.49 Hf.upf
Tb 158.93 Tb.upf
CELL_PARAMETERS angstrom
3.272 0.000 0.000
0.000 3.272 0.000
-1.636 -1.636 7.216
ATOMIC_POSITIONS angstrom
Sc 1.636 1.636 2.588
Hf 0.000 0.000 4.721
Tb 1.636 1.636 7.124


3.
! Tb2HfSc4, relaxed, DFT PBE-GGA; values from VASP
! Energy relative to the lowest polymorph listed for this composition in meV/atom: 567
! E_form in eV/f.u.: 4.271
! Total magnetic moment in μB per formula unit: 0.00
&SYSTEM
  ibrav = 0, nat = 7, ntyp = 3
/
ATOMIC_SPECIES
Tb 158.93 Tb.upf
Hf 178.49 Hf.upf
Sc 44.96 Sc.upf
CELL_PARAMETERS angstrom
-3.363 3.411 -1.652
-0.668 -2.707 -4.230
-3.994 -4.524 6.561
ATOMIC_POSITIONS angstrom
Tb -3.555 -0.717 -2.014
Tb -4.470 -3.104 2.693
Hf 0.000 0.000 0.000
Sc -5.951 -2.380 -0.571
Sc -2.075 -1.440 1.250
Sc -0.334 -1.354 -2.115
Sc -1.681 1.705 -0.826


Which value of total magnetic moment does entry 3 give? 0.00 μB per formula unit


Look up the total magnetic moment of the second one. 0.00 μB per formula unit